Compound: Cu2Re
Source: the Alexandria database
Functional: PBE-GGA
Structure: optimized geometry

Values from the calculation:
Its offset from the most stable computed form is 4.9 kJ/mol of atoms. Its total moment is 0.0000 μB/atom. As for the calculated total energy: -19.925 eV/f.u. The formation energy comes out at 0.239 eV per atom.

Cell: 4.729 4.729 4.729 Å, 60.00 60.00 60.00°
Fractional coordinates of all 6 atoms:
Cu (0.125, 0.625, 0.625)
Cu (0.625, 0.125, 0.625)
Cu (0.625, 0.625, 0.625)
Cu (0.625, 0.625, 0.125)
Re (0.250, 0.250, 0.250)
Re (0.000, 0.000, 0.000)


Compound: AcLaPm5Er2
Source: the Alexandria database
Functional: PBE-GGA
Structure: optimized geometry

Values from the calculation:
Its total moment is 0.0000 μB/atom. As for the calculated total energy: -40.624 eV/f.u. The formation energy comes out at 0.143 eV per atom.

Cell: 5.646 12.335 9.582 Å, 90.00 90.00 103.23°
Fractional coordinates of all 18 atoms:
Pm (0.525, 0.050, 0.252)
Pm (0.603, 0.205, 0.533)
Pm (0.741, 0.482, 0.854)
Pm (0.994, 0.988, 0.033)
Pm (0.397, 0.795, 0.033)
Pm (0.313, 0.626, 0.731)
Pm (0.687, 0.374, 0.231)
Pm (0.006, 0.012, 0.533)
Pm (0.475, 0.950, 0.752)
Pm (0.259, 0.518, 0.354)
Er (0.112, 0.224, 0.295)
Er (0.888, 0.776, 0.795)
Er (0.829, 0.658, 0.167)
Er (0.171, 0.342, 0.667)
Ac (0.397, 0.794, 0.424)
Ac (0.603, 0.206, 0.924)
La (0.767, 0.534, 0.535)
La (0.233, 0.466, 0.035)